# 1
{
  "formula": "Ho2ZnGa3Pd4",
  "functional": "PBE",
  "state": "optimized geometry",
  "e_tot_ev_per_cell": -47.74,
  "dos_at_fermi_per_ev_cell": 6.29,
  "ef_ev_per_atom": -0.75,
  "magnetic_moment_mub_per_atom": 0.000,
  "cell": [[-0.158, -1.082, 3.862], [3.992, -0.414, 0.047], [1.099, 10.966, 3.118]],
  "species": ["Zn", "Pd", "Pd", "Pd", "Pd", "Ho", "Ho", "Ga", "Ga", "Ga"],
  "fractional_positions": [[0.500, 0.500, 0.500], [0.500, 0.500, 0.000], [0.500, 0.000, 0.648], [0.000, 0.500, 0.352], [0.000, 0.000, 0.000], [0.000, 0.500, 0.743], [0.500, 0.000, 0.257], [0.000, 0.000, 0.500], [0.000, 0.500, 0.135], [0.500, 0.000, 0.865]]
}


# 2
{
  "formula": "RbBiH2",
  "functional": "PBE",
  "state": "optimized geometry",
  "relative_energy_mev_per_atom": 0,
  "e_tot_ev_per_cell": -46.61,
  "magnetic_moment_mub_per_atom": 0.000,
  "cell": [[5.835, 0.000, 0.000], [0.000, 5.608, 0.000], [0.000, 0.000, 13.870]],
  "species": ["H", "H", "H", "H", "H", "H", "H", "H", "Bi", "Bi", "Bi", "Bi", "Rb", "Rb", "Rb", "Rb"],
  "fractional_positions": [[0.949, 0.045, 0.577], [0.062, 0.823, 0.923], [0.938, 0.323, 0.077], [0.438, 0.323, 0.423], [0.449, 0.045, 0.923], [0.551, 0.545, 0.077], [0.051, 0.545, 0.423], [0.562, 0.823, 0.577], [0.248, 0.439, 0.325], [0.748, 0.439, 0.175], [0.252, 0.939, 0.825], [0.752, 0.939, 0.675], [0.750, 0.440, 0.885], [0.750, 0.940, 0.385], [0.250, 0.940, 0.115], [0.250, 0.440, 0.615]]
}


# 3
{
  "formula": "NiMoAs2",
  "functional": "PBE",
  "state": "optimized geometry",
  "e_tot_ev_per_cell": -26.43,
  "dos_at_fermi_per_ev_cell": 1.95,
  "ef_ev_per_atom": -0.13,
  "magnetic_moment_mub_per_atom": 0.000,
  "cell": [[-2.765, 1.289, 1.457], [-1.945, -1.793, -2.105], [-0.047, -3.983, 3.435]],
  "species": ["Mo", "As", "As", "Ni"],
  "fractional_positions": [[0.000, 0.000, 0.467], [0.500, 0.500, 0.284], [0.000, 0.000, 0.939], [0.500, 0.500, 0.809]]
}


# 4
{
  "formula": "Li2TbNd2Sn2",
  "functional": "PBE",
  "state": "optimized geometry",
  "e_tot_ev_per_cell": -29.26,
  "dos_at_fermi_per_ev_cell": 4.82,
  "ef_ev_per_atom": -0.47,
  "magnetic_moment_mub_per_atom": 0.000,
  "cell": [[4.804, 0.000, 0.000], [2.402, 4.160, 0.000], [2.402, 1.387, 9.187]],
  "species": ["Sn", "Sn", "Li", "Li", "Tb", "Nd", "Nd"],
  "fractional_positions": [[0.733, 0.733, 0.801], [0.267, 0.267, 0.199], [0.605, 0.605, 0.186], [0.395, 0.395, 0.814], [0.000, 0.000, 0.000], [0.128, 0.128, 0.616], [0.872, 0.872, 0.384]]
}


# 5
{
  "formula": "Dy3NiTe",
  "functional": "PBE",
  "state": "optimized geometry",
  "relative_energy_mev_per_atom": 0,
  "e_tot_ev_per_cell": -52.60,
  "dos_at_fermi_per_ev_cell": 9.23,
  "raw_formation_energy_mev_per_atom": -714,
  "magnetic_moment_mub_per_atom": 0.000,
  "cell": [[-1.693, -2.706, 2.355], [5.142, -5.965, -3.160], [3.848, 3.097, 6.326]],
  "species": ["Dy", "Dy", "Dy", "Dy", "Dy", "Dy", "Ni", "Ni", "Te", "Te"],
  "fractional_positions": [[0.250, 0.745, 0.929], [0.750, 0.407, 0.686], [0.750, 0.931, 0.302], [0.250, 0.069, 0.698], [0.750, 0.255, 0.071], [0.250, 0.593, 0.314], [0.750, 0.588, 0.065], [0.250, 0.412, 0.935], [0.250, 0.235, 0.381], [0.750, 0.765, 0.619]]
}


# 6
{
  "formula": "AsHRu2",
  "functional": "PBE",
  "state": "optimized geometry",
  "relative_energy_mev_per_atom": 101,
  "e_tot_ev_per_cell": -25.27,
  "dos_at_fermi_per_ev_cell": 3.61,
  "magnetic_moment_mub_per_atom": 0.000,
  "cell": [[0.812, -3.860, -1.045], [-0.023, -2.930, 2.840], [-2.977, -2.791, 0.029]],
  "species": ["H", "Ru", "Ru", "As"],
  "fractional_positions": [[0.000, 0.000, 0.000], [0.250, 0.250, 0.250], [0.750, 0.750, 0.750], [0.500, 0.500, 0.500]]
}


# 7
{
  "formula": "Zr2NiIrN",
  "functional": "PBE",
  "state": "optimized geometry",
  "e_tot_ev_per_cell": -44.35,
  "dos_at_fermi_per_ev_cell": 3.14,
  "raw_formation_energy_mev_per_atom": -857,
  "magnetic_moment_mub_per_atom": 0.000,
  "cell": [[-2.576, 3.378, 1.432], [0.793, -1.196, 4.247], [2.975, 2.237, 0.075]],
  "species": ["N", "Zr", "Zr", "Ni", "Ir"],
  "fractional_positions": [[0.000, 0.000, 0.000], [0.500, 0.000, 0.000], [0.000, 0.500, 0.000], [0.000, 0.000, 0.500], [0.500, 0.500, 0.500]]
}


# 8
{
  "formula": "RbZn2Se4",
  "functional": "PBE",
  "state": "optimized geometry",
  "e_tot_ev_per_cell": -15.42,
  "dos_at_fermi_per_ev_cell": 7.02,
  "raw_formation_energy_mev_per_atom": 290,
  "magnetic_moment_mub_per_atom": 0.000,
  "cell": [[-1.077, 2.154, 5.074], [3.042, -4.079, 2.378], [6.948, 3.195, 3.227]],
  "species": ["Se", "Se", "Se", "Se", "Rb", "Zn", "Zn"],
  "fractional_positions": [[0.500, 0.000, 0.000], [0.746, 0.746, 0.508], [0.254, 0.254, 0.492], [0.000, 0.500, 0.000], [0.000, 0.000, 0.000], [0.586, 0.586, 0.828], [0.414, 0.414, 0.172]]
}